VASP calculation (PBE) on a relaxed structure of PrDyTcAg.

Calculated values
Crystal system   cubic
E_form   -0.018 eV per atom
Total DFT energy (no corrections)   -5.668 eV per atom
N(E_F)   4.1 states/eV per cell

a = 5.072 Å, b = 5.072 Å, c = 5.072 Å
α = 60.00°, β = 60.00°, γ = 60.00°
Atoms (fractional coordinates):
Pr 0.000 0.000 0.000
Dy 0.500 0.500 0.500
Tc 0.750 0.750 0.750
Ag 0.250 0.250 0.250



VASP calculation (PBE) on a relaxed structure of Pr2DyAgTe5.

Calculated values
Crystal system   orthorhombic
Uncorrected formation energy   -1.199 eV/atom
Total DFT energy (no corrections)   -4.834 eV per atom
N(E_F)   0.2 states/eV per cell

a = 9.767 Å, b = 9.767 Å, c = 13.339 Å
α = 90.00°, β = 90.00°, γ = 153.89°
Atoms (fractional coordinates):
Pr 0.111 0.889 0.500
Pr 0.125 0.875 0.119
Pr 0.875 0.125 0.619
Pr 0.889 0.111 0.000
Dy 0.192 0.808 0.822
Dy 0.808 0.192 0.322
Ag 0.431 0.569 0.273
Ag 0.569 0.431 0.773
Te 0.043 0.957 0.889
Te 0.286 0.714 0.481
Te 0.306 0.694 0.155
Te 0.356 0.644 0.812
Te 0.499 0.501 0.592
Te 0.501 0.499 0.092
Te 0.644 0.356 0.312
Te 0.694 0.306 0.655
Te 0.714 0.286 0.981
Te 0.957 0.043 0.389



VASP calculation (PBE) on a relaxed structure of PrDy2Tl2Ag2.

Calculated values
Crystal system   trigonal
E_form   -0.194 eV per atom
Total DFT energy (no corrections)   -3.682 eV per atom
N(E_F)   7.5 states/eV per cell

a = 9.218 Å, b = 9.218 Å, c = 9.218 Å
α = 31.09°, β = 31.09°, γ = 31.09°
Atoms (fractional coordinates):
Pr 0.000 0.000 0.000
Dy 0.133 0.133 0.133
Dy 0.867 0.867 0.867
Tl 0.262 0.262 0.262
Tl 0.738 0.738 0.738
Ag 0.438 0.438 0.438
Ag 0.562 0.562 0.562



VASP calculation (PBE) on a relaxed structure of PrDyTm2Ag4.

Calculated values
Crystal system   trigonal
E_form   -0.301 eV per atom
Total DFT energy (no corrections)   -4.017 eV per atom
N(E_F)   5.3 states/eV per cell

a = 8.996 Å, b = 8.996 Å, c = 8.996 Å
α = 33.28°, β = 33.28°, γ = 33.28°
Atoms (fractional coordinates):
Pr 0.000 0.000 0.000
Dy 0.500 0.500 0.500
Tm 0.249 0.249 0.249
Tm 0.751 0.751 0.751
Ag 0.127 0.127 0.127
Ag 0.379 0.379 0.379
Ag 0.621 0.621 0.621
Ag 0.873 0.873 0.873



VASP calculation (PBE) on a relaxed structure of PrDy2TmAg4.

Calculated values
Crystal system   trigonal
E_form   -0.298 eV per atom
Total DFT energy (no corrections)   -4.031 eV per atom
N(E_F)   5.4 states/eV per cell

a = 9.028 Å, b = 9.028 Å, c = 9.028 Å
α = 33.26°, β = 33.26°, γ = 33.26°
Atoms (fractional coordinates):
Pr 0.000 0.000 0.000
Dy 0.248 0.248 0.248
Dy 0.752 0.752 0.752
Tm 0.500 0.500 0.500
Ag 0.128 0.128 0.128
Ag 0.380 0.380 0.380
Ag 0.620 0.620 0.620
Ag 0.872 0.872 0.872



VASP calculation (PBE) on a relaxed structure of PrDyYAg.

Calculated values
Crystal system   tetragonal
E_form   -0.138 eV per atom
Total DFT energy (no corrections)   -4.812 eV per atom
N(E_F)   5.0 states/eV per cell

a = 3.644 Å, b = 3.644 Å, c = 8.805 Å
α = 90.00°, β = 90.00°, γ = 90.00°
Atoms (fractional coordinates):
Pr 0.000 0.000 0.000
Dy 0.500 0.500 0.708
Y 0.500 0.500 0.296
Ag 0.000 0.000 0.504